The following is a DFT calculation (PBE) of a relaxed Pr2GdGa crystal.

Structure (POSCAR):
```
Pr2GdGa
1.0
3.6644 0.0000 0.0000
0.0000 3.6644 0.0000
0.0000 0.0000 9.0524
Pr Gd Ga
2 1 1
Cartesian
0.0000 0.0000 6.4226
0.0000 0.0000 2.6298
1.8322 1.8322 0.0000
1.8322 1.8322 4.5262
```

Output
The symmetry is P4/mmm. For the formation energy, the calculation gives -0.23 eV per atom. As for the density of states at the Fermi level: 5.85 states/eV/f.u. As for the total energy: -27.581 eV for the cell shown. The calculation puts the excess energy over the best structure of this formula in the dataset at 14.7 meV/atom.